! PBE TmMgCuTe2S, optimized geometry; values from VASP
&SYSTEM
  ibrav = 0, nat = 12, ntyp = 5
/
ATOMIC_SPECIES
Tm 168.93 Tm.upf
Mg 24.30 Mg.upf
Cu 63.55 Cu.upf
Te 127.60 Te.upf
S 32.06 S.upf
CELL_PARAMETERS angstrom
2.012 -6.807 0.000
2.012 6.807 0.000
0.000 0.000 10.285
ATOMIC_POSITIONS angstrom
Tm 0.000 0.000 0.000
Tm 0.000 0.000 5.142
Mg 2.012 2.995 7.713
Mg 2.012 -2.995 2.571
Cu 2.012 0.190 2.571
Cu 2.012 -0.190 7.713
Te 2.012 2.093 0.753
Te 2.012 2.093 4.390
Te 2.012 -2.093 5.895
Te 2.012 -2.093 9.532
S 2.012 5.670 2.571
S 2.012 -5.670 7.713
! M_tot = 0.01 μB per cell
! VASP energy = -50.883 eV per cell
! SG = Cmcm

! PBE Er3AlS6, optimized geometry; values from VASP
&SYSTEM
  ibrav = 0, nat = 20, ntyp = 3
/
ATOMIC_SPECIES
Er 167.26 Er.upf
Al 26.98 Al.upf
S 32.06 S.upf
CELL_PARAMETERS angstrom
5.300 -6.599 0.000
5.300 6.599 0.000
0.000 0.000 6.397
ATOMIC_POSITIONS angstrom
Er 5.300 5.303 3.198
Er 3.345 1.320 2.634
Er 3.345 -1.320 5.832
Er 7.256 1.320 2.634
Er 7.256 -1.320 5.832
Er 5.300 -5.303 0.000
Al 5.300 2.651 5.577
Al 5.300 -2.651 2.378
S 3.552 3.530 4.457
S 1.726 0.389 4.521
S 1.726 -0.389 1.322
S 5.300 2.861 1.427
S 7.049 3.530 4.457
S 5.300 0.546 4.677
S 5.300 -0.546 1.479
S 3.552 -3.530 1.258
S 5.300 -2.861 4.625
S 8.875 0.389 4.521
S 8.875 -0.389 1.322
S 7.049 -3.530 1.258
! M_tot = 0.00 μB per cell
! VASP energy = -120.984 eV per cell
! SG = Cmc2_1

! PBE Ta4TlC2S, optimized geometry; values from VASP
&SYSTEM
  ibrav = 0, nat = 8, ntyp = 4
/
ATOMIC_SPECIES
Ta 180.95 Ta.upf
Tl 204.38 Tl.upf
C 12.01 C.upf
S 32.06 S.upf
CELL_PARAMETERS angstrom
3.256 0.000 0.000
-1.628 2.820 0.000
0.000 0.000 13.022
ATOMIC_POSITIONS angstrom
Ta 0.000 0.000 1.798
Ta 0.000 0.000 11.224
Ta 1.628 0.940 4.074
Ta 1.628 0.940 8.948
Tl 0.000 0.000 6.511
C 0.000 1.880 2.971
C 0.000 1.880 10.051
S 1.628 0.940 0.000
! M_tot = 0.00 μB per cell
! VASP energy = -76.146 eV per cell
! SG = P-6m2